*P*
CaCrTe2I: optimized geometry, PBE.

```
CaCrTe2I
1.0
5.378 0.000 0.000
0.000 5.378 0.000
0.000 0.000 5.504
Ca Te I Cr
1 2 1 1
Direct
0.500 0.500 0.500
0.500 0.000 0.000
0.000 0.500 0.000
0.000 0.000 0.500
0.000 0.000 0.000
```

***

*Q*
CaCrTe2I: optimized geometry, PBE.

```
CaCrTe2I
1.0
5.920 0.000 0.000
0.000 5.920 0.000
0.000 0.000 5.927
Ca Te Cr I
1 2 1 1
Direct
0.000 0.000 0.000
0.000 0.500 0.000
0.500 0.000 0.000
0.500 0.500 0.500
0.000 0.000 0.500
```

***

Least stable of them? *Q*.

***

*P*
CaCrIn3: optimized geometry, PBE.

```
CaCrIn3
1.0
5.105 0.000 0.000
0.000 5.105 0.000
0.000 0.000 5.105
Ca In Cr
1 3 1
Direct
0.500 0.500 0.500
0.000 0.000 0.500
0.500 0.000 0.000
0.000 0.500 0.000
0.000 0.000 0.000
```

***

*Q*
CaCrIn3: optimized geometry, PBE.

```
CaCrIn3
1.0
5.743 0.000 0.000
0.000 5.743 0.000
0.000 0.000 5.743
In Ca Cr
3 1 1
Direct
0.000 0.500 0.000
0.000 0.000 0.500
0.500 0.000 0.000
0.000 0.000 0.000
0.500 0.500 0.500
```

***

Least stable of them? *Q*.

***

*P*
CaCr3In: optimized geometry, PBE.

```
CaCr3In
1.0
-1.093 4.146 2.941
-4.993 -1.441 0.177
0.957 -2.787 4.284
In Cr Ca
1 3 1
Direct
0.000 0.000 0.000
0.000 0.500 0.000
0.500 0.000 0.000
0.000 0.000 0.500
0.500 0.500 0.500
```

***

*Q*
CaCr3In: optimized geometry, PBE.

```
CaCr3In
1.0
4.438 0.000 0.000
0.000 4.438 0.000
0.000 0.000 4.438
In Cr Ca
1 3 1
Direct
0.500 0.500 0.500
0.500 0.000 0.000
0.000 0.000 0.500
0.000 0.500 0.000
0.000 0.000 0.000
```

***

Least stable of them? *Q*.

***

*P*
CaCr3Ir: optimized geometry, PBE.

```
CaCr3Ir
1.0
4.196 0.000 0.000
0.000 4.196 0.000
0.000 0.000 4.196
Cr Ir Ca
3 1 1
Direct
0.000 0.000 0.500
0.000 0.500 0.000
0.500 0.000 0.000
0.500 0.500 0.500
0.000 0.000 0.000
```

***

*Q*
CaCr3Ir: optimized geometry, PBE.

```
CaCr3Ir
1.0
-1.923 -0.187 -4.432
4.427 -0.384 -1.905
-0.278 -4.816 0.324
Cr Ir Ca
3 1 1
Direct
0.000 0.000 0.500
0.500 0.000 0.000
0.000 0.500 0.000
0.000 0.000 0.000
0.500 0.500 0.500
```

***

Least stable of them? *P*.

***

*P*
CaCr2Ir: optimized geometry, PBE.

```
CaCr2Ir
1.0
3.024 0.000 0.000
0.000 3.028 0.293
0.000 2.308 7.700
Cr Ca Ir
2 1 1
Direct
0.500 0.252 0.249
0.000 0.926 0.073
0.500 0.768 0.732
0.000 0.554 0.446
```

***

*Q*
CaCr2Ir: optimized geometry, PBE.

```
CaCr2Ir
1.0
5.066 0.001 0.003
4.201 2.831 0.003
1.059 0.324 4.976
Cr Ir Ca
2 1 1
Direct
0.030 0.030 0.879
0.470 0.470 0.621
0.750 0.750 0.750
0.250 0.250 0.250
```

***

Least stable of them? *Q*.

***

*P*
CaCr2Ir: optimized geometry, PBE.

```
CaCr2Ir
1.0
4.879 -0.010 -0.023
3.978 2.826 -0.023
1.454 0.462 5.205
Cr Ca Ir
2 1 1
Direct
0.746 0.746 0.750
0.037 0.037 0.909
0.242 0.242 0.259
0.474 0.474 0.582
```

***

*Q*
CaCr2Ir: optimized geometry, PBE.

```
CaCr2Ir
1.0
-3.714 -2.923 6.054
0.108 -6.941 -3.285
0.755 -5.504 2.677
Ir Ca Cr
2 2 4
Direct
0.750 0.250 0.500
0.000 0.000 0.000
0.250 0.750 0.500
0.500 0.500 0.000
0.875 0.956 0.750
0.375 0.294 0.750
0.706 0.125 0.250
0.044 0.625 0.250
```

***

*R*
CaCr2Ir: optimized geometry, PBE.

```
CaCr2Ir
1.0
5.175 0.000 -0.005
-2.483 4.541 -0.005
0.417 0.702 2.572
Cr Ca Ir
2 1 1
Direct
0.000 0.000 0.000
0.500 0.500 0.000
0.000 0.500 0.500
0.500 0.000 0.500
```

***

*S*
CaCr2Ir: optimized geometry, PBE.

```
CaCr2Ir
1.0
-1.760 -1.798 -2.024
2.410 -3.600 1.101
-3.015 -0.957 3.471
Cr Ca Ir
2 1 1
Direct
0.500 0.500 0.000
0.000 0.000 0.000
0.000 0.500 0.500
0.500 0.000 0.500
```

***

Least stable of them? *R*.

***

*P*
CaCr2Ir: optimized geometry, PBE.

```
CaCr2Ir
1.0
2.841 0.000 0.000
0.000 4.175 0.000
0.000 0.000 5.959
Ca Ir Cr
1 1 2
Direct
0.500 0.500 0.750
0.500 0.500 0.250
0.000 0.000 0.093
0.000 0.000 0.407
```

***

*Q*
CaCr2Ir: optimized geometry, PBE.

```
CaCr2Ir
1.0
4.585 0.000 0.000
2.292 3.971 0.000
2.292 1.324 3.744
Ir Cr Ca
1 2 1
Direct
0.750 0.750 0.750
0.250 0.250 0.250
0.000 0.000 0.000
0.500 0.500 0.500
```

***

*R*
CaCr2Ir: optimized geometry, PBE.

```
CaCr2Ir
1.0
3.373 0.000 0.000
0.000 3.373 0.000
0.000 0.000 6.526
Cr Ca Ir
2 1 1
Direct
0.000 0.000 0.402
0.000 0.000 0.098
0.500 0.500 0.750
0.500 0.500 0.250
```

***

Least stable of them? *R*.

***

*P*
CaCr2Ir: optimized geometry, PBE.

```
CaCr2Ir
1.0
-1.941 -3.560 3.929
0.976 -5.549 -0.378
1.900 5.293 0.504
Cr Ir Ca
2 1 1
Direct
0.466 0.466 0.000
0.034 0.034 0.000
0.250 0.750 0.500
0.750 0.250 0.500
```

***

*Q*
CaCr2Ir: optimized geometry, PBE.

```
CaCr2Ir
1.0
3.090 0.000 0.000
0.000 3.090 0.000
0.000 0.000 7.891
Ir Cr Ca
1 2 1
Direct
0.500 0.500 0.250
0.000 0.000 0.439
0.000 0.000 0.061
0.500 0.500 0.750
```

***

*R*
CaCr2Ir: optimized geometry, PBE.

```
CaCr2Ir
1.0
5.181 -0.008 0.000
2.463 4.558 0.000
-3.822 -2.275 2.657
Cr Ca Ir
2 1 1
Direct
0.000 0.000 0.000
0.500 0.500 0.000
0.750 0.250 0.500
0.250 0.750 0.500
```

***

Least stable of them? *R*.

***

*P*
CaCr2Ir: optimized geometry, PBE.

```
CaCr2Ir
1.0
-3.946 1.845 0.199
-1.176 -2.448 -0.636
-0.727 -2.131 5.343
Ca Ir Cr
1 1 2
Direct
0.500 0.750 0.750
0.500 0.250 0.250
0.000 0.616 0.408
0.000 0.884 0.092
```

***

*Q*
CaCr2Ir: optimized geometry, PBE.

```
CaCr2Ir
1.0
-1.814 5.000 -0.452
-3.962 1.311 3.327
5.070 -1.604 -0.459
Ir Cr Ca
1 2 1
Direct
0.479 0.479 0.000
0.240 0.740 0.500
0.030 0.030 0.000
0.750 0.250 0.500
```

***

*R*
CaCr2Ir: optimized geometry, PBE.

```
CaCr2Ir
1.0
-0.773 2.221 3.698
-3.605 -0.838 2.347
0.330 -2.016 3.877
Ir Ca Cr
1 1 2
Direct
0.500 0.500 0.500
0.000 0.000 0.000
0.250 0.250 0.250
0.750 0.750 0.750
```

***

*S*
CaCr2Ir: optimized geometry, PBE.

```
CaCr2Ir
1.0
-1.390 0.772 -3.789
-3.341 -2.358 0.746
-2.035 3.333 1.425
Cr Ca Ir
2 1 1
Direct
0.000 0.500 0.500
0.000 0.000 0.000
0.500 0.000 0.500
0.500 0.500 0.000
```

***

Least stable of them? *R*.

***

*P*
CaCr2Ir: optimized geometry, PBE.

```
CaCr2Ir
1.0
5.145 -0.005 0.000
-2.548 4.470 0.000
0.000 0.000 2.665
Ir Cr Ca
1 2 1
Direct
0.500 0.000 0.500
0.500 0.500 0.000
0.000 0.000 0.000
0.000 0.500 0.500
```

***

*Q*
CaCr2Ir: optimized geometry, PBE.

```
CaCr2Ir
1.0
-0.270 3.436 8.858
-2.801 2.312 8.784
-0.612 0.753 9.455
Ir Cr Ca
1 2 1
Direct
0.250 0.250 0.250
0.990 0.990 0.990
0.510 0.510 0.510
0.750 0.750 0.750
```

***

Least stable of them? *Q*.

***

*P*
CaCrIr: optimized geometry, PBE.

```
CaCrIr
1.0
-0.374 3.039 3.003
1.595 -0.658 3.926
3.464 2.169 1.298
Ir Ca Cr
1 1 1
Direct
0.000 0.000 0.000
0.500 0.500 0.500
0.750 0.750 0.750
```

***

*Q*
CaCrIr: optimized geometry, PBE.

```
CaCrIr
1.0
-5.402 2.018 0.864
-4.777 -0.071 -3.343
4.411 -2.792 2.598
Ca Ir Cr
1 1 1
Direct
0.995 0.995 0.000
0.293 0.293 0.000
0.712 0.712 0.000
```

***

Least stable of them? *P*.

***

*P*
CaCrIr: optimized geometry, PBE.

```
CaCrIr
1.0
4.571 0.000 0.000
2.285 3.958 0.000
2.285 1.319 3.732
Ca Ir Cr
1 1 1
Direct
0.750 0.750 0.750
0.500 0.500 0.500
0.000 0.000 0.000
```

***

*Q*
CaCrIr: optimized geometry, PBE.

```
CaCrIr
1.0
4.024 0.000 0.000
-2.012 3.485 0.000
0.000 0.000 4.676
Cr Ir Ca
1 1 1
Direct
0.667 0.333 0.499
0.333 0.667 0.501
0.000 0.000 0.000
```

***

Least stable of them? *P*.